Entry 1:
Computed, not measured: a geometry-optimized CaZr2BeRe structure at the PBE level of DFT.

abc: 4.8939 4.8939 4.1621
angles: 90.00 90.00 90.00
Last column: nearest neighbours and their distance in Å.
Space group P4/mmm (No. 123)
Symmetry-distinct sites (fractional):
Ca1 0.0000 0.0000 0.0000 [1 per cell]  2 Be 2.08
Zr1 0.0000 0.5000 0.0000 [2 per cell]  2 Ca 2.45
Be1 0.0000 0.0000 0.5000 [1 per cell]  2 Ca 2.08
Re1 0.5000 0.5000 0.5000 [1 per cell]  8 Zr 3.21, 4 Be 3.46

Properties
**E**: -4.9032 eV/atom
**Energy of formation from the pure elements**: 10.76 eV/f.u.
**Total magnetization**: 0.3 μB per formula unit


Entry 2:
Computed, not measured: a geometry-optimized NaScTa2 structure at the PBE level of DFT.

abc: 3.9535 3.9535 21.5394
angles: 90.00 90.00 90.00
Last column: nearest neighbours and their distance in Å.
Space group I-42d (No. 122)
Symmetry-distinct sites (fractional):
Na1 0.0000 0.0000 0.0000 [4 per cell]  4 Sc 2.80, 4 Ta 3.04
Sc1 0.0000 0.0000 0.5000 [4 per cell]  4 Na 2.80, 4 Ta 3.02
Ta1 0.2419 0.7500 0.6250 [8 per cell]  4 Ta 2.75-2.84, 2 Sc 3.02, 2 Na 3.04

Properties
**E**: -6.8833 eV/atom
**Energy of formation from the pure elements**: 3.82 eV/f.u.
**Polymorph energy (0 for the lowest one)**: 0.000 eV/atom
**Total magnetization**: 0.0 μB per formula unit


Entry 3:
Computed, not measured: a geometry-optimized TaSi structure at the PBE level of DFT.

abc: 7.9421 7.9421 7.9421
angles: 90.00 90.00 90.00
Last column: nearest neighbours and their distance in Å.
Space group I-43m (No. 217)
Symmetry-distinct sites (fractional):
Ta1 0.1293 0.1293 0.8707 [8 per cell]  4 Si 2.55-2.58
Si1 0.1831 0.1831 0.1831 [8 per cell]  4 Ta 2.55-2.58

Properties
**E**: -7.6819 eV/atom
**Total magnetization**: 0.0 μB per formula unit


Entry 4:
Computed, not measured: a geometry-optimized Sr2TeBr structure at the PBE level of DFT.

abc: 4.5785 4.5785 14.5524
angles: 90.00 90.00 90.00
Last column: nearest neighbours and their distance in Å.
Space group I-4m2 (No. 119)
Symmetry-distinct sites (fractional):
Sr1 0.0000 0.0000 0.0000 [2 per cell]  4 Br 3.24
Sr2 0.0000 0.5000 0.2500 [2 per cell]  4 Te 3.24
Te1 0.0000 0.5000 0.7500 [2 per cell]  4 Sr 3.24
Br1 0.0000 0.0000 0.5000 [2 per cell]  4 Sr 3.24

Properties
**E**: -3.3625 eV/atom
**Polymorph energy (0 for the lowest one)**: 0.243 eV/atom
**Total magnetization**: 0.7 μB per formula unit


Entry 5:
Computed, not measured: a geometry-optimized IrAu3Cl structure at the PBE level of DFT.

abc: 5.0604 5.0604 5.0604
angles: 90.00 90.00 90.00
Last column: nearest neighbours and their distance in Å.
Space group Pm-3m (No. 221)
Symmetry-distinct sites (fractional):
Ir1 0.0000 0.0000 0.0000 [1 per cell]  6 Au 2.53
Au1 0.0000 0.0000 0.5000 [3 per cell]  2 Ir 2.53
Cl1 0.5000 0.5000 0.5000 [1 per cell]  12 Au 3.58

Properties
**E**: -3.0524 eV/atom
**Polymorph energy (0 for the lowest one)**: 0.000 eV/atom
**Total magnetization**: 0.2 μB per formula unit


Entry 6:
Computed, not measured: a geometry-optimized TlPd2S structure at the PBE level of DFT.

abc: 4.2452 4.2452 15.6870
angles: 90.00 90.00 120.00
Last column: nearest neighbours and their distance in Å.
Space group R-3m (No. 166, hexagonal axes)
Symmetry-distinct sites (fractional):
Tl1 0.0000 0.0000 0.0000 [3 per cell]  8 Pd 3.18-3.21
Pd1 0.0000 0.0000 0.2045 [6 per cell]  3 S 2.52, 3 Pd 2.72
S1 0.0000 0.0000 0.5000 [3 per cell]  6 Pd 2.52

Properties
**E**: -4.2874 eV/atom
**Polymorph energy (0 for the lowest one)**: 0.118 eV/atom
**Total magnetization**: 0.0 μB per formula unit